(1)
# Nb4SnSe8

A relaxed Nb4SnSe8 crystal (PBE-GGA, Alexandria via LeMat-Bulk).

Computed properties:
The formation energy without anion corrections comes out at -0.72 eV/atom. The density of states at the Fermi level is 9.7 states/eV per cell. The energy above the most stable polymorph in this dataset is 30.2 meV per atom. Its crystal system is trigonal.

Lattice parameters (Å, degrees): 6.991 6.991 8.694 90.00 113.71 120.00
Atoms (fractional coordinates):
1 Se 0.019 0.259 0.779
2 Se 0.521 0.261 0.782
3 Se 0.479 0.739 0.218
4 Se 0.981 0.741 0.221
5 Se 0.981 0.240 0.221
6 Se 0.520 0.760 0.779
7 Se 0.019 0.760 0.779
8 Se 0.480 0.240 0.221
9 Sn 0.000 0.500 0.500
10 Nb 0.000 0.500 0.000
11 Nb 0.000 0.000 0.000
12 Nb 0.500 0.000 0.000
13 Nb 0.500 0.500 0.000



(2)
# U2NiGe

A relaxed U2NiGe crystal (PBE-GGA, Alexandria via LeMat-Bulk).

Computed properties:
Its energy of formation from the pure elements is 1.18 eV per formula unit. The density of states at the Fermi level is 7.4 states/eV per cell. Its crystal system is trigonal.

Lattice parameters (Å, degrees): 2.877 2.877 10.269 81.95 81.95 60.00
Atoms (fractional coordinates):
1 Ge 0.500 0.500 0.500
2 U 0.918 0.918 0.247
3 U 0.082 0.082 0.753
4 Ni 0.000 0.000 0.000



(3)
# Rb6S2O

A relaxed Rb6S2O crystal (PBE-GGA, Alexandria via LeMat-Bulk).

Computed properties:
The formation energy without anion corrections comes out at -0.91 eV/atom. The density of states at the Fermi level is 0.0 states/eV per cell. The energy above the most stable polymorph in this dataset is 37.0 meV per atom. Its crystal system is orthorhombic.

Lattice parameters (Å, degrees): 4.649 8.444 8.452 119.97 90.00 90.00
Each line ends with the local moment (μB).
Atoms (fractional coordinates):
1 Rb 0.000 0.763 0.763  0.00
2 Rb 0.500 0.408 0.408  0.00
3 Rb 0.000 0.000 0.237  0.00
4 Rb 0.000 0.237 0.000  0.00
5 Rb 0.500 0.593 0.000  0.00
6 Rb 0.500 0.000 0.592  0.00
7 S 0.000 0.333 0.667  0.00
8 S 0.000 0.667 0.333  0.00
9 O 0.500 0.999 0.000  0.11



(4)
# LiCrCu2

A relaxed LiCrCu2 crystal (PBE-GGA, Alexandria via LeMat-Bulk).

Computed properties:
Its energy of formation from the pure elements is 0.78 eV per formula unit. The density of states at the Fermi level is 1.4 states/eV per cell. The energy above the most stable polymorph in this dataset is 20.6 meV per atom. Its crystal system is orthorhombic.

Lattice parameters (Å, degrees): 6.022 4.587 2.473 90.00 65.76 123.08
Each line ends with the local moment (μB).
Atoms (fractional coordinates):
1 Cu 0.500 0.000 0.500  0.05
2 Cu 0.000 0.000 0.000  0.05
3 Cr 0.500 0.500 0.000  1.94
4 Li 0.000 0.500 0.500  -0.02



> What is the formula in the first record?

Nb4SnSe8